[1]
# PBE PaGaGe, optimized geometry
# **Theoretical density**: 9.1 g cm⁻³
# **VASP energy**: -16.8 eV per formula unit
# **M_tot**: 2.3 μB/cell
data_PaGaGe
_chemical_formula_sum 'Pa4 Ga4 Ge4'
_space_group_name_H-M_alt 'F -4 3 m'
_space_group_IT_number 216
_space_group_name_Hall 'F -4 2 3'
_cell_length_a 6.4900
_cell_length_b 6.4900
_cell_length_c 6.4900
_cell_angle_alpha 90.00
_cell_angle_beta 90.00
_cell_angle_gamma 90.00
loop_
_atom_site_label
_atom_site_fract_x
_atom_site_fract_y
_atom_site_fract_z
_atom_site_occupancy
Pa1 0.0000 0.0000 0.0000 1
Ga1 0.2500 0.2500 0.7500 1
Ge1 0.0000 0.0000 0.5000 1

[2]
# PBE SmTlSnTe3, optimized geometry
# **Theoretical density**: 6.7 g cm⁻³
# **VASP energy**: -24.2 eV per formula unit
# **M_tot**: 0.1 μB/cell
data_SmTlSnTe3
_chemical_formula_sum 'Sm4 Tl4 Sn4 Te12'
_space_group_name_H-M_alt 'C m c m'
_space_group_IT_number 63
_space_group_name_Hall '-C 2c 2'
_cell_length_a 4.7042
_cell_length_b 15.2214
_cell_length_c 11.8481
_cell_angle_alpha 90.00
_cell_angle_beta 90.00
_cell_angle_gamma 90.00
loop_
_atom_site_label
_atom_site_fract_x
_atom_site_fract_y
_atom_site_fract_z
_atom_site_occupancy
Sm1 0.0000 0.0000 0.0000 1
Tl1 0.0000 0.2456 0.2500 1
Sn1 0.0000 0.4650 0.7500 1
Te1 0.0000 0.0911 0.7500 1
Te2 0.0000 0.3591 0.5359 1

[3]
# PBE HoErNi8B2, optimized geometry
# **Theoretical density**: 9.2 g cm⁻³
# **VASP energy**: -73.1 eV per formula unit
# **M_tot**: 0.0 μB/cell
data_HoErNi8B2
_chemical_formula_sum 'Ho1 Er1 Ni8 B2'
_space_group_name_H-M_alt 'P 6/m m m'
_space_group_IT_number 191
_space_group_name_Hall '-P 6 2'
_cell_length_a 4.9661
_cell_length_b 4.9661
_cell_length_c 6.9586
_cell_angle_alpha 90.00
_cell_angle_beta 90.00
_cell_angle_gamma 120.00
loop_
_atom_site_label
_atom_site_fract_x
_atom_site_fract_y
_atom_site_fract_z
_atom_site_occupancy
Ho1 0.0000 0.0000 0.0000 1
Er1 0.0000 0.0000 0.5000 1
Ni1 0.0000 0.5000 0.2919 1
Ni2 0.3333 0.6667 0.0000 1
B1 0.3333 0.6667 0.5000 1

[4]
# PBE NdGdNi4, optimized geometry
# **Theoretical density**: 8.6 g cm⁻³
# **VASP energy**: -31.7 eV per formula unit
# **M_tot**: 0.0 μB/cell
data_NdGdNi4
_chemical_formula_sum 'Nd2 Gd2 Ni8'
_space_group_name_H-M_alt 'P 6/m m m'
_space_group_IT_number 191
_space_group_name_Hall '-P 6 2'
_cell_length_a 5.4470
_cell_length_b 5.4470
_cell_length_c 8.0920
_cell_angle_alpha 90.00
_cell_angle_beta 90.00
_cell_angle_gamma 120.00
loop_
_atom_site_label
_atom_site_fract_x
_atom_site_fract_y
_atom_site_fract_z
_atom_site_occupancy
Nd1 0.0000 0.0000 0.0000 1
Nd2 0.0000 0.0000 0.5000 1
Gd1 0.3333 0.6667 0.0000 1
Ni1 0.0000 0.5000 0.2760 1
Ni2 0.3333 0.6667 0.5000 1

[5]
# PBE PrNd2Ag4Ge4, optimized geometry
# **Theoretical density**: 8.0 g cm⁻³
# **VASP energy**: -50.2 eV per formula unit
# **M_tot**: 0.0 μB/cell
data_PrNd2Ag4Ge4
_chemical_formula_sum 'Pr2 Nd4 Ag8 Ge8'
_space_group_name_H-M_alt 'I m m m'
_space_group_IT_number 71
_space_group_name_Hall '-I 2 2'
_cell_length_a 4.4551
_cell_length_b 7.2297
_cell_length_c 14.8658
_cell_angle_alpha 90.00
_cell_angle_beta 90.00
_cell_angle_gamma 90.00
loop_
_atom_site_label
_atom_site_fract_x
_atom_site_fract_y
_atom_site_fract_z
_atom_site_occupancy
Pr1 0.0000 0.0000 0.0000 1
Nd1 0.0000 0.5000 0.1278 1
Ag1 0.0000 0.3049 0.3312 1
Ge1 0.0000 0.0000 0.2169 1
Ge2 0.0000 0.1812 0.5000 1

[6]
# PBE Y2AlNi, optimized geometry
# **Theoretical density**: 5.4 g cm⁻³
# **VASP energy**: -22.3 eV per formula unit
# **M_tot**: 3.4 μB/cell
data_Y2AlNi
_chemical_formula_sum 'Y8 Al4 Ni4'
_space_group_name_H-M_alt 'F -4 3 m'
_space_group_IT_number 216
_space_group_name_Hall 'F -4 2 3'
_cell_length_a 6.8704
_cell_length_b 6.8704
_cell_length_c 6.8704
_cell_angle_alpha 90.00
_cell_angle_beta 90.00
_cell_angle_gamma 90.00
loop_
_atom_site_label
_atom_site_fract_x
_atom_site_fract_y
_atom_site_fract_z
_atom_site_occupancy
Y1 0.0000 0.0000 0.0000 1
Y2 0.2500 0.2500 0.2500 1
Al1 0.0000 0.0000 0.5000 1
Ni1 0.2500 0.2500 0.7500 1

[7]
# PBE ZrTc, optimized geometry
# **Theoretical density**: 8.5 g cm⁻³
# **VASP energy**: -18.9 eV per formula unit
# **M_tot**: 0.0 μB/cell
data_ZrTc
_chemical_formula_sum 'Zr6 Tc6'
_space_group_name_H-M_alt 'P m c 21'
_space_group_IT_number 26
_cell_length_a 4.6911
_cell_length_b 8.8196
_cell_length_c 5.3895
_cell_angle_alpha 90.00
_cell_angle_beta 90.00
_cell_angle_gamma 90.00
loop_
_space_group_symop_operation_xyz
'x,y,z'
'-x,-y,z+1/2'
'-x,y,z'
'x,-y,z+1/2'
loop_
_atom_site_label
_atom_site_fract_x
_atom_site_fract_y
_atom_site_fract_z
_atom_site_occupancy
Zr1 0.0000 0.0869 0.0000 1
Zr2 0.0000 0.4123 0.8275 1
Zr3 0.5000 0.3624 0.2202 1
Tc1 0.0000 0.2494 0.4338 1
Tc2 0.5000 0.0568 0.2650 1
Tc3 0.5000 0.2221 0.7306 1

[8]
# PBE ReW5, optimized geometry
# **Theoretical density**: 18.4 g cm⁻³
# **VASP energy**: -74.3 eV per formula unit
# **M_tot**: 0.0 μB/cell
data_ReW5
_chemical_formula_sum 'Re4 W20'
_space_group_name_H-M_alt 'P 63/m m c'
_space_group_IT_number 194
_space_group_name_Hall '-P 6c 2c'
_cell_length_a 5.2066
_cell_length_b 5.2066
_cell_length_c 16.9859
_cell_angle_alpha 90.00
_cell_angle_beta 90.00
_cell_angle_gamma 120.00
loop_
_atom_site_label
_atom_site_fract_x
_atom_site_fract_y
_atom_site_fract_z
_atom_site_occupancy
Re1 0.3333 0.6667 0.1527 1
W1 0.0000 0.0000 0.1010 1
W2 0.0000 0.5000 0.0000 1
W3 0.1634 0.3268 0.7500 1
W4 0.3333 0.6667 0.6242 1

Copy entry 8 word for word.
# PBE ReW5, optimized geometry
# **Theoretical density**: 18.4 g cm⁻³
# **VASP energy**: -74.3 eV per formula unit
# **M_tot**: 0.0 μB/cell
data_ReW5
_chemical_formula_sum 'Re4 W20'
_space_group_name_H-M_alt 'P 63/m m c'
_space_group_IT_number 194
_space_group_name_Hall '-P 6c 2c'
_cell_length_a 5.2066
_cell_length_b 5.2066
_cell_length_c 16.9859
_cell_angle_alpha 90.00
_cell_angle_beta 90.00
_cell_angle_gamma 120.00
loop_
_atom_site_label
_atom_site_fract_x
_atom_site_fract_y
_atom_site_fract_z
_atom_site_occupancy
Re1 0.3333 0.6667 0.1527 1
W1 0.0000 0.0000 0.1010 1
W2 0.0000 0.5000 0.0000 1
W3 0.1634 0.3268 0.7500 1
W4 0.3333 0.6667 0.6242 1